DFT (PBE-GGA) results for an optimized crystal structure of CaSb.

The structure belongs to space group P2_12_12_1 (No. 19); the cell edges are 6.226, 6.464 and 12.235 Å and the angles 90.00°, 90.00° and 90.00°. Symmetry generates all atoms from Ca at (0.097, 0.063, 0.474), Ca at (0.191, 0.602, 0.723), Sb at (0.094, 0.561, 0.457) and Sb at (0.189, 0.899, 0.216).

As for the energy: -61.97 eV/cell. Its total moment is 0.00 μB per cell.